# 1
Compound: PrHoTl2S4
Source: the Alexandria database
Functional: PBE
Structure: relaxed

Results
E: -42.281 eV for the cell shown
energy relative to the elements, uncorrected: -1.46 eV/atom

a = 4.114 Å, b = 7.133 Å, c = 7.875 Å
α = 107.52°, β = 90.00°, γ = 90.00°
Fractional positions:
S 0.000 0.255 0.797
S 0.000 0.745 0.203
S 0.500 0.223 0.199
S 0.500 0.777 0.801
Tl 0.000 0.500 0.500
Tl 0.500 0.000 0.500
Pr 0.500 0.500 0.000
Ho 0.000 0.000 0.000

# 2
Compound: LiAcSmTl2
Source: the Alexandria database
Functional: PBE
Structure: relaxed

Results
E: -32.862 eV for the cell shown

a = 6.810 Å, b = 6.115 Å, c = 7.061 Å
α = 90.00°, β = 90.00°, γ = 90.00°
Fractional positions:
Tl 0.230 0.750 0.737
Tl 0.770 0.250 0.737
Tl 0.230 0.750 0.263
Tl 0.770 0.250 0.263
Ac 0.249 0.250 0.500
Ac 0.751 0.750 0.500
Li 0.000 0.500 0.000
Li 0.000 0.000 0.000
Sm 0.595 0.750 0.000
Sm 0.405 0.250 0.000

# 3
Compound: TcRuCl2
Source: the Alexandria database
Functional: PBE
Structure: relaxed

Results
E: -21.858 eV for the cell shown
energy relative to the elements, uncorrected: 0.37 eV/atom

a = 3.022 Å, b = 3.022 Å, c = 9.763 Å
α = 90.00°, β = 90.00°, γ = 123.19°
Fractional positions:
Cl 0.000 0.000 0.938
Cl 0.500 0.500 0.313
Tc 0.500 0.500 0.741
Ru 0.000 0.000 0.508

# 4
Compound: MnGaAu
Source: the Alexandria database
Functional: PBE
Structure: relaxed

Results
E: -31.410 eV for the cell shown

a = 4.402 Å, b = 5.311 Å, c = 5.310 Å
α = 63.33°, β = 65.51°, γ = 65.52°
Fractional positions:
Au 0.826 0.674 0.674
Au 0.174 0.326 0.326
Mn 0.500 0.752 0.249
Mn 0.500 0.248 0.751
Ga 0.838 0.161 0.162
Ga 0.162 0.839 0.838

# 5
Compound: GaAgPb
Source: the Alexandria database
Functional: PBE
Structure: relaxed

Results
E: -37.853 eV for the cell shown

a = 7.518 Å, b = 4.234 Å, c = 8.562 Å
α = 90.00°, β = 90.00°, γ = 90.00°
Fractional positions:
Ga 0.372 0.250 0.939
Ga 0.872 0.250 0.561
Ga 0.628 0.750 0.061
Ga 0.128 0.750 0.439
Ag 0.734 0.250 0.868
Ag 0.234 0.250 0.632
Ag 0.766 0.750 0.368
Ag 0.266 0.750 0.132
Pb 0.041 0.750 0.835
Pb 0.541 0.750 0.665
Pb 0.959 0.250 0.165
Pb 0.459 0.250 0.335

# 6
Compound: SrRe2Te
Source: the Alexandria database
Functional: PBE
Structure: relaxed

Results
E: -25.398 eV for the cell shown
energy relative to the elements, uncorrected: 1.08 eV/atom

a = 3.313 Å, b = 3.313 Å, c = 7.846 Å
α = 90.00°, β = 90.00°, γ = 90.00°
Fractional positions:
Te 0.500 0.500 0.750
Sr 0.500 0.500 0.250
Re 0.000 0.000 0.567
Re 0.000 0.000 0.933

# 7
Compound: BeAlTc
Source: the Alexandria database
Functional: PBE
Structure: relaxed

Results
E: -18.504 eV for the cell shown

a = 4.065 Å, b = 4.065 Å, c = 2.629 Å
α = 90.00°, β = 90.00°, γ = 120.00°
Fractional positions:
Be 0.667 0.333 0.169
Al 0.000 0.000 0.165
Tc 0.333 0.667 0.666

# 8
Compound: CdRu2W
Source: the Alexandria database
Functional: PBE
Structure: relaxed

Results
E: -31.145 eV for the cell shown

a = 2.759 Å, b = 2.759 Å, c = 8.383 Å
α = 90.00°, β = 90.00°, γ = 90.00°
Fractional positions:
Cd 0.500 0.500 0.763
Ru 0.500 0.500 0.230
Ru 0.000 0.000 0.026
W 0.000 0.000 0.482

# 9
Compound: ThBeOs
Source: the Alexandria database
Functional: PBE
Structure: relaxed

Results
E: -93.193 eV for the cell shown

a = 4.042 Å, b = 7.001 Å, c = 7.961 Å
α = 90.00°, β = 90.00°, γ = 90.00°
Fractional positions:
Th 0.250 0.750 0.000
Th 0.750 0.250 0.000
Th 0.750 0.250 0.500
Th 0.250 0.750 0.500
Be 0.750 0.916 0.750
Be 0.250 0.084 0.250
Be 0.750 0.584 0.250
Be 0.250 0.416 0.750
Os 0.250 0.084 0.750
Os 0.250 0.416 0.250
Os 0.750 0.584 0.750
Os 0.750 0.916 0.250

# 10
Compound: Tb2Y7Th
Source: the Alexandria database
Functional: PBE
Structure: relaxed

Results
E: -54.618 eV for the cell shown

a = 5.417 Å, b = 9.412 Å, c = 9.412 Å
α = 124.38°, β = 90.00°, γ = 90.00°
Fractional positions:
Y 0.500 0.934 0.712
Y 0.000 0.205 0.795
Y 0.500 0.288 0.066
Y 0.000 0.795 0.205
Y 0.500 0.066 0.288
Y 0.500 0.500 0.500
Y 0.500 0.712 0.934
Tb 0.500 0.298 0.702
Tb 0.500 0.702 0.298
Th 0.000 0.000 0.000

# 11
Compound: Al3ZnIr
Source: the Alexandria database
Functional: PBE
Structure: relaxed

Results
E: -17.510 eV for the cell shown

a = 4.479 Å, b = 4.479 Å, c = 4.479 Å
α = 90.00°, β = 90.00°, γ = 90.00°
Fractional positions:
Al 0.000 0.500 0.000
Al 0.500 0.000 0.000
Al 0.000 0.000 0.500
Zn 0.000 0.000 0.000
Ir 0.500 0.500 0.500

# 12
Compound: TbNdY6Ho2
Source: the Alexandria database
Functional: PBE
Structure: relaxed

Results
E: -112.253 eV for the cell shown

a = 9.673 Å, b = 8.781 Å, c = 8.781 Å
α = 117.19°, β = 94.46°, γ = 94.46°
Fractional positions:
Y 0.318 0.978 0.428
Y 0.182 0.572 0.022
Y 0.056 0.119 0.752
Y 0.818 0.428 0.978
Y 0.944 0.881 0.248
Y 0.556 0.752 0.119
Y 0.881 0.294 0.506
Y 0.119 0.706 0.494
Y 0.682 0.022 0.572
Y 0.444 0.248 0.881
Y 0.619 0.494 0.706
Y 0.381 0.506 0.294
Ho 0.546 0.193 0.293
Ho 0.954 0.707 0.807
Ho 0.046 0.293 0.193
Ho 0.454 0.807 0.707
Nd 0.250 0.407 0.593
Nd 0.750 0.593 0.407
Tb 0.250 0.975 0.025
Tb 0.750 0.025 0.975

Going through the records in order, we get M_tot values of 0.00, 0.00, 0.36, 1.21, 0.00, 0.00, 0.00, 0.00, 0.00, 0.00, 0.00, 0.00 μB per atom.